# HoTlSnI6, relaxed, DFT GGA-PBE
# energy relative to the elements, uncorrected = -0.93 eV/atom
# calculated volume = 847.9 Å³ per cell
# size of the total moment = 0.00 μB per formula unit
# final energy = -57.3 eV for the cell shown
data_HoTlSnI6
_chemical_formula_sum 'Ho2 Tl2 Sn2 I12'
_symmetry_space_group_name_H-M 'P -3 1 c'
_symmetry_Int_Tables_number 163
_symmetry_space_group_name_Hall '-P 3 2c'
_cell_length_a 8.0264
_cell_length_b 8.0264
_cell_length_c 15.1982
_cell_angle_alpha 90.00
_cell_angle_beta 90.00
_cell_angle_gamma 120.00
loop_
_atom_site_label
_atom_site_type_symbol
_atom_site_fract_x
_atom_site_fract_y
_atom_site_fract_z
_atom_site_occupancy
Ho1 Ho 0.3333 0.6667 0.2500 1
Tl1 Tl 0.0000 0.0000 0.0000 1
Sn1 Sn 0.3333 0.6667 0.7500 1
I1 I 0.0156 0.3707 0.1337 1